Record 1
Here is Ba2Cu2Br after structural relaxation from Alexandria. Energies are from PBE-GGA.

```
5
Lattice="-3.768 -2.210 -0.929 3.794 -2.249 0.701 -0.665 1.759 9.244" Properties=species:S:1:pos:R:3 pbc="T T T"
Ba 1.114 -0.354 7.063
Ba -1.753 -2.345 1.953
Cu -0.959 -0.232 4.441
Cu 0.320 -2.467 4.575
Br 0.000 0.000 0.000
```

Summary:
ρ (g/cm3): 5.10
Energy above the lowest structure with this stoichiometry (eV/atom): 0.000
Formation energy (no corrections) (eV/f.u.): -3.6
Magnetic moment (μB/atom): 0.00

Record 2
Here is Ce4Cl3F7 after structural relaxation from Alexandria. Energies are from PBE-GGA.

```
14
Lattice="-2.643 2.961 0.896 -7.222 -3.744 0.308 -1.796 -1.207 7.930" Properties=species:S:1:pos:R:3 pbc="T T T"
Ce -9.435 -1.082 3.463
Ce -5.317 0.071 2.560
Ce -2.227 -0.908 5.672
Ce -6.344 -2.060 6.574
F -3.704 0.935 4.463
F -4.726 -1.711 0.955
F 0.000 0.000 0.000
F -7.957 -2.924 4.672
F -7.123 -1.548 2.581
F -4.538 -0.442 6.553
F -6.936 -0.279 8.180
Cl -2.465 0.037 1.844
Cl -4.509 -2.475 4.119
Cl -9.196 -2.027 7.290
```

Summary:
ρ (g/cm3): 5.37
Formation energy (no corrections) (eV/f.u.): -45.3
Magnetic moment (μB/atom): 0.42

Record 3
Here is H3PbS after structural relaxation from Alexandria. Energies are from PBE-GGA.

```
5
Lattice="3.824 0.000 0.000 0.000 3.824 0.000 0.000 0.000 3.824" Properties=species:S:1:pos:R:3 pbc="T T T"
H 0.000 0.000 1.912
H 1.912 0.000 0.000
H 0.000 1.912 0.000
S 0.000 0.000 0.000
Pb 1.912 1.912 1.912
```

Summary:
ρ (g/cm3): 7.20
Energy above the lowest structure with this stoichiometry (eV/atom): 0.000
Magnetic moment (μB/atom): 0.00

Record 4
Here is PaReTe2 after structural relaxation from Alexandria. Energies are from PBE-GGA.

```
4
Lattice="3.282 0.000 0.000 1.641 2.843 0.000 1.641 0.948 10.155" Properties=species:S:1:pos:R:3 pbc="T T T"
Te 1.641 0.948 7.590
Te 4.924 2.843 2.565
Re 0.000 0.000 0.000
Pa 3.282 1.895 5.077
```

Summary:
ρ (g/cm3): 11.78
Formation energy (no corrections) (eV/f.u.): 2.2
Magnetic moment (μB/atom): 0.00